No. 1
A geometry-optimized Ba2Zn structure. Source: Alexandria, functional PBE.

Output
Symmetry: P6_3/mmc (194)
Total magnetization in μB per atom: 0.00
Energy of formation in eV per formula unit: 0.0

Unit cell a=5.8207 b=5.8207 c=8.3580 alpha=90.00 beta=90.00 gamma=120.00
Last column: nearest neighbours and their distance in Å.
Element x y z (fractional)
Ba 0.6667 0.3333 0.7500  3 Zn 3.36
Ba 0.3333 0.6667 0.2500  3 Zn 3.36
Ba 0.0000 0.0000 0.5000  8 Ba 3.96-4.18, 6 Zn 3.96
Ba 0.0000 0.0000 0.0000  6 Zn 3.96, 8 Ba 3.96-4.18
Zn 0.3333 0.6667 0.7500  3 Ba 3.36
Zn 0.6667 0.3333 0.2500  3 Ba 3.36

No. 2
A geometry-optimized Ba2Zn structure. Source: Alexandria, functional PBE.

Output
Symmetry: P6/mmm (191)
Total magnetization in μB per atom: 0.00
Energy of formation in eV per formula unit: 0.7

Unit cell a=5.9981 b=5.9981 c=3.7226 alpha=90.00 beta=90.00 gamma=120.00
Last column: nearest neighbours and their distance in Å.
Element x y z (fractional)
Ba 0.6667 0.3333 0.5000  5 Ba 3.46-3.72
Ba 0.3333 0.6667 0.5000  5 Ba 3.46-3.72
Zn 0.0000 0.0000 0.0000  2 Zn 3.72, 12 Ba 3.93

No. 3
A geometry-optimized Ba3Zn structure. Source: Alexandria, functional PBE.

Output
Symmetry: R-3m (166)
Total magnetization in μB per atom: 0.00
Energy of formation in eV per formula unit: 0.6

Unit cell a=7.2384 b=7.2384 c=7.2384 alpha=116.07 beta=116.07 gamma=116.07
Last column: nearest neighbours and their distance in Å.
Element x y z (fractional)
Ba 0.5000 0.0000 0.5000  4 Ba 3.83, 2 Zn 3.83
Ba 0.0000 0.0000 0.0000  4 Ba 3.83, 2 Zn 3.83
Ba 0.5000 0.5000 0.0000  2 Zn 3.83, 4 Ba 3.83
Zn 0.0000 0.5000 0.5000  6 Ba 3.83

No. 4
A geometry-optimized Ba3Zn structure. Source: Alexandria, functional PBE.

Output
Symmetry: I4/mmm (139)
Total magnetization in μB per atom: 0.00
Energy of formation in eV per formula unit: 0.5

Unit cell a=12.5904 b=12.5904 c=12.5904 alpha=154.46 beta=154.46 gamma=36.43
Last column: nearest neighbours and their distance in Å.
Element x y z (fractional)
Ba 0.0000 0.5000 0.5000  8 Ba 3.94-4.05, 4 Zn 4.08
Ba 0.2500 0.7500 0.5000  8 Ba 3.94-4.12, 4 Zn 4.09
Ba 0.5000 0.0000 0.5000  8 Ba 3.94-4.05, 4 Zn 4.08
Ba 0.7500 0.2500 0.5000  8 Ba 3.94-4.12, 4 Zn 4.09
Ba 0.8771 0.8771 0.0000  4 Zn 3.94, 8 Ba 4.05-4.12
Ba 0.1229 0.1229 0.0000  4 Zn 3.94, 8 Ba 4.05-4.12
Zn 0.6249 0.6249 0.0000  12 Ba 3.94-4.09
Zn 0.3751 0.3751 0.0000  12 Ba 3.94-4.09

No. 5
A geometry-optimized Ba5Zn2 structure. Source: Alexandria, functional PBE.

Output
Symmetry: C2/c (15)
Total magnetization in μB per atom: 0.04
Energy of formation in eV per formula unit: -0.5

Unit cell a=7.9157 b=8.5566 c=10.6743 alpha=96.81 beta=111.76 gamma=90.00
Last column: nearest neighbours and their distance in Å.
Element x y z (fractional)
Ba 0.2039 0.4274 0.1868  2 Zn 3.42-3.44
Ba 0.7870 0.3115 0.4329  2 Zn 3.44-3.52
Ba 0.5694 0.2500 0.0000  4 Zn 3.45-3.54
Ba 0.2130 0.6885 0.5671  2 Zn 3.44-3.52
Ba 0.6459 0.8115 0.4329  2 Zn 3.44-3.52
Ba 0.9828 0.9274 0.1868  2 Zn 3.42-3.44
Ba 0.7961 0.5726 0.8132  2 Zn 3.42-3.44
Ba 0.4306 0.7500 0.0000  4 Zn 3.45-3.54
Ba 0.0172 0.0726 0.8132  2 Zn 3.42-3.44
Ba 0.3541 0.1885 0.5671  2 Zn 3.44-3.52
Zn 0.8140 0.5719 0.2178  6 Ba 3.42-3.54
Zn 0.1860 0.4281 0.7822  6 Ba 3.42-3.54
Zn 0.5962 0.9281 0.7822  6 Ba 3.42-3.54
Zn 0.4038 0.0719 0.2178  6 Ba 3.42-3.54

No. 6
A geometry-optimized Ba3Zn structure. Source: Alexandria, functional PBE.

Output
Symmetry: Fm-3m (225)
Total magnetization in μB per atom: 0.00
Energy of formation in eV per formula unit: 0.6

Unit cell a=6.2580 b=6.2580 c=6.2580 alpha=60.00 beta=60.00 gamma=60.00
Last column: nearest neighbours and their distance in Å.
Element x y z (fractional)
Ba 0.2500 0.2500 0.2500  8 Ba 3.83
Ba 0.0000 0.0000 0.0000  4 Ba 3.83, 4 Zn 3.83
Ba 0.5000 0.5000 0.5000  4 Ba 3.83, 4 Zn 3.83
Zn 0.7500 0.7500 0.7500  8 Ba 3.83

No. 7
A geometry-optimized Ba3Zn structure. Source: Alexandria, functional PBE.

Output
Symmetry: Immm (71)
Total magnetization in μB per atom: 0.00
Energy of formation in eV per formula unit: -0.1

Unit cell a=7.9773 b=7.9773 c=7.9773 alpha=148.74 beta=132.20 gamma=58.23
Last column: nearest neighbours and their distance in Å.
Element x y z (fractional)
Zn 0.5000 0.0000 0.5000  4 Ba 3.42
Ba 0.6911 0.6911 0.0000  2 Zn 3.42
Ba 0.3089 0.3089 0.0000  2 Zn 3.42
Ba 0.0000 0.5000 0.5000  4 Zn 3.88, 6 Ba 4.19-4.30

No. 8
A geometry-optimized BaZn5 structure. Source: Alexandria, functional PBE.

Output
Symmetry: P4/mmm (123)
Total magnetization in μB per atom: 0.00
Energy of formation in eV per formula unit: 0.1

Unit cell a=3.4876 b=3.4876 c=10.2142 alpha=90.00 beta=90.00 gamma=90.00
Last column: nearest neighbours and their distance in Å.
Element x y z (fractional)
Zn 0.5000 0.5000 0.3645  9 Zn 2.77-2.83
Zn 0.0000 0.0000 0.2399  5 Zn 2.66-2.78
Zn 0.0000 0.0000 0.7601  5 Zn 2.66-2.78
Zn 0.5000 0.5000 0.6355  9 Zn 2.77-2.83
Zn 0.0000 0.0000 0.5000  10 Zn 2.66-2.83
Ba 0.5000 0.5000 0.0000  10 Zn 3.48-3.72, 4 Ba 3.49

No. 9
A geometry-optimized BaZn3 structure. Source: Alexandria, functional PBE.

Output
Symmetry: P4mm (99)
Total magnetization in μB per atom: 0.00
Energy of formation in eV per formula unit: -0.2

Unit cell a=4.3526 b=4.3537 c=5.7526 alpha=90.00 beta=90.00 gamma=90.00
Last column: nearest neighbours and their distance in Å.
Element x y z (fractional)
Ba 0.0000 0.0000 0.9936  12 Zn 3.49-3.66
Zn 0.0000 0.5000 0.4820  2 Zn 2.54
Zn 0.5000 0.5000 0.7089  4 Zn 2.54
Zn 0.5000 0.0000 0.4822  2 Zn 2.54

No. 10
A geometry-optimized Ba5Zn structure. Source: Alexandria, functional PBE.

Output
Symmetry: P4/mmm (123)
Total magnetization in μB per atom: 0.06
Energy of formation in eV per formula unit: -0.2
ΔE to the lowest computed polymorph in eV per atom: 0.000

Unit cell a=4.2685 b=4.2685 c=17.6170 alpha=90.00 beta=90.00 gamma=90.00
Last column: nearest neighbours and their distance in Å.
Element x y z (fractional)
Zn 0.5000 0.5000 0.0000  8 Ba 3.58
Ba 0.5000 0.5000 0.3068  12 Ba 4.27-4.61
Ba 0.0000 0.0000 0.1089  4 Zn 3.58, 1 Ba 3.84
Ba 0.5000 0.5000 0.6932  12 Ba 4.27-4.61
Ba 0.0000 0.0000 0.5000  12 Ba 4.27-4.55
Ba 0.0000 0.0000 0.8911  4 Zn 3.58, 1 Ba 3.84

No. 11
A geometry-optimized Ba2Zn structure. Source: Alexandria, functional PBE.

Output
Symmetry: P-3m1 (164)
Total magnetization in μB per atom: 0.00
Energy of formation in eV per formula unit: 0.1

Unit cell a=5.5391 b=5.5391 c=4.9741 alpha=90.00 beta=90.00 gamma=120.00
Last column: nearest neighbours and their distance in Å.
Element x y z (fractional)
Ba 0.3333 0.6667 0.7379  3 Zn 3.45
Ba 0.6667 0.3333 0.2621  3 Zn 3.45
Zn 0.0000 0.0000 0.0000  6 Ba 3.45

No. 12
A geometry-optimized BaZn3 structure. Source: Alexandria, functional PBE.

Output
Symmetry: P2/m (10)
Total magnetization in μB per atom: 0.00
Energy of formation in eV per formula unit: -0.2

Unit cell a=4.3657 b=3.8980 c=6.2996 alpha=76.87 beta=90.00 gamma=90.00
Last column: nearest neighbours and their distance in Å.
Element x y z (fractional)
Ba 0.0000 0.0000 0.0000  6 Zn 3.31-3.49
Zn 0.0000 0.5000 0.5000  4 Zn 2.56
Zn 0.5000 0.6921 0.6526  4 Zn 2.56-2.71
Zn 0.5000 0.3079 0.3474  4 Zn 2.56-2.71

No. 13
A geometry-optimized BaZn3 structure. Source: Alexandria, functional PBE.

Output
Symmetry: Pm-3m (221)
Total magnetization in μB per atom: 0.00
Energy of formation in eV per formula unit: 3.3

Unit cell a=6.8208 b=6.8208 c=6.8208 alpha=90.00 beta=90.00 gamma=90.00
Last column: nearest neighbours and their distance in Å.
Element x y z (fractional)
Ba 0.0000 0.0000 0.0000  6 Zn 3.41
Zn 0.0000 0.0000 0.5000  2 Ba 3.41
Zn 0.5000 0.0000 0.0000  2 Ba 3.41
Zn 0.0000 0.5000 0.0000  2 Ba 3.41

No. 14
A geometry-optimized Ba2Zn structure. Source: Alexandria, functional PBE.

Output
Symmetry: Fd-3m (227)
Total magnetization in μB per atom: 0.00
Energy of formation in eV per formula unit: 1.7

Unit cell a=7.4066 b=7.4066 c=7.4066 alpha=60.00 beta=60.00 gamma=60.00
Last column: nearest neighbours and their distance in Å.
Element x y z (fractional)
Zn 0.5000 0.5000 0.5000  12 Ba 4.34, 4 Zn 4.54
Zn 0.7500 0.7500 0.7500  12 Ba 4.34, 4 Zn 4.54
Ba 0.1250 0.1250 0.1250  6 Ba 3.70
Ba 0.1250 0.6250 0.1250  6 Ba 3.70
Ba 0.1250 0.1250 0.6250  6 Ba 3.70
Ba 0.6250 0.1250 0.1250  6 Ba 3.70